Model w:
## LiVSN2 (PBE)

Data for a relaxed structure of LiVSN2.

Crystal system = tetragonal
Total moment = 0.24 μB per atom

a b c (Å): 3.5428 3.5428 4.5648
angles (deg): 90.00 90.00 90.00
Last column: nearest neighbours and their distance in Å.
Space group P4/mmm (No. 123)
One atom of each set of equivalent atoms:
Li  0.0000  0.0000  0.0000 x1  4 N 1.77
V  0.5000  0.5000  0.5000 x1  4 S 2.51
S  0.0000  0.0000  0.5000 x1  2 Li 2.28, 4 V 2.51
N  0.0000  0.5000  0.0000 x2  2 Li 1.77

***

Model x:
## LiVSN2 (PBE)

Data for a relaxed structure of LiVSN2.

Crystal system = tetragonal
Total moment = 0.18 μB per atom

a b c (Å): 3.7334 3.7334 4.9327
angles (deg): 90.00 90.00 90.00
Last column: nearest neighbours and their distance in Å.
Space group P4/mmm (No. 123)
One atom of each set of equivalent atoms:
Li  0.0000  0.0000  0.0000 x1  4 S 2.64
V  0.5000  0.5000  0.5000 x1  4 N 1.87
S  0.5000  0.5000  0.0000 x1  2 V 2.47, 4 Li 2.64
N  0.0000  0.5000  0.5000 x2  2 V 1.87

***

Stability verdict: model x, ahead by 1315 meV/atom

***

Model w:
## LiYSN2 (PBE)

Data for a relaxed structure of LiYSN2.

Crystal system = tetragonal
Total moment = 0.00 μB per atom

a b c (Å): 3.9048 3.9048 4.2406
angles (deg): 90.00 90.00 90.00
Last column: nearest neighbours and their distance in Å.
Space group P4/mmm (No. 123)
One atom of each set of equivalent atoms:
Li  0.0000  0.0000  0.0000 x1  4 N 1.95, 2 S 2.12
Y  0.5000  0.5000  0.5000 x1  4 S 2.76, 8 N 2.88
S  0.0000  0.0000  0.5000 x1  2 Li 2.12
N  0.0000  0.5000  0.0000 x2  2 Li 1.95

***

Model x:
## LiYSN2 (PBE)

Data for a relaxed structure of LiYSN2.

Crystal system = tetragonal
Total moment = 0.80 μB per atom

a b c (Å): 4.5782 4.5782 5.3824
angles (deg): 90.00 90.00 90.00
Last column: nearest neighbours and their distance in Å.
Space group P4/mmm (No. 123)
One atom of each set of equivalent atoms:
Li  0.0000  0.0000  0.0000 x1  4 S 3.24, 8 N 3.53
Y  0.5000  0.5000  0.5000 x1  4 N 2.29
S  0.5000  0.5000  0.0000 x1  2 Y 2.69
N  0.0000  0.5000  0.5000 x2  2 Y 2.29

***

Stability verdict: model w, ahead by 30 meV/atom

***

Model w:
## LiZnSN2 (PBE)

Data for a relaxed structure of LiZnSN2.

Crystal system = tetragonal
Total moment = 0.53 μB per atom

a b c (Å): 3.5795 3.5795 5.4483
angles (deg): 90.00 90.00 90.00
Last column: nearest neighbours and their distance in Å.
Space group P4/mmm (No. 123)
One atom of each set of equivalent atoms:
Li  0.0000  0.0000  0.0000 x1  4 N 1.79
Zn  0.5000  0.5000  0.5000 x1  4 S 2.53
S  0.0000  0.0000  0.5000 x1  4 Zn 2.53, 2 Li 2.72
N  0.0000  0.5000  0.0000 x2  2 Li 1.79

***

Model x:
## LiZnSN2 (PBE)

Data for a relaxed structure of LiZnSN2.

Crystal system = tetragonal
Total moment = 0.80 μB per atom

a b c (Å): 3.9459 3.9459 5.0631
angles (deg): 90.00 90.00 90.00
Last column: nearest neighbours and their distance in Å.
Space group P4/mmm (No. 123)
One atom of each set of equivalent atoms:
Li  0.0000  0.0000  0.0000 x1  4 S 2.79
Zn  0.5000  0.5000  0.5000 x1  4 N 1.97
S  0.5000  0.5000  0.0000 x1  2 Zn 2.53, 4 Li 2.79
N  0.0000  0.5000  0.5000 x2  2 Zn 1.97

***

Stability verdict: model x, ahead by 336 meV/atom

***

Model w:
## LiSb3N (PBE)

Data for a relaxed structure of LiSb3N.

Crystal system = cubic
Total moment = 0.00 μB per atom

a b c (Å): 4.8358 4.8358 4.8358
angles (deg): 90.00 90.00 90.00
Last column: nearest neighbours and their distance in Å.
Space group Pm-3m (No. 221)
One atom of each set of equivalent atoms:
Li  0.0000  0.0000  0.0000 x1  6 Sb 2.42
Sb  0.0000  0.0000  0.5000 x3  2 Li 2.42
N  0.5000  0.5000  0.5000 x1  12 Sb 3.42

***

Model x:
## LiSb3N (PBE)

Data for a relaxed structure of LiSb3N.

Crystal system = cubic
Total moment = 0.00 μB per atom

a b c (Å): 4.7783 4.7783 4.7783
angles (deg): 90.00 90.00 90.00
Last column: nearest neighbours and their distance in Å.
Space group Pm-3m (No. 221)
One atom of each set of equivalent atoms:
Li  0.0000  0.0000  0.0000 x1  12 Sb 3.38
Sb  0.0000  0.5000  0.5000 x3  2 N 2.39
N  0.5000  0.5000  0.5000 x1  6 Sb 2.39

***

Stability verdict: model x, ahead by 981 meV/atom